Computed, not measured: an optimized crystal structure of AlGa2BiSe at the PBE-GGA level of DFT.

Cell and atoms, written as POSCAR:
```
AlGa2BiSe
1.0
5.5456 0.0000 0.0000
0.0000 5.5456 0.0000
0.0000 0.0000 5.6965
Al Ga Bi Se
1 2 1 1
Direct
0.0000 0.0000 0.0000
0.0000 0.5000 0.5000
0.5000 0.0000 0.5000
0.5000 0.5000 0.5000
0.5000 0.5000 0.0000
```

- Spin magnetization: 0.0 μB per cell
- Energy relative to the elements, uncorrected: 0.67 eV per atom
- N(E_F): 2.83 states/eV/cell